Record 1
The following is a DFT calculation (PBE) of a relaxed B4MoPb crystal.

## Properties
Relative energy among the computed polymorphs = 0.0 meV/atom
Spin magnetization = 0.01 μB per cell

Cell lengths 3.0388, 3.0388, 8.8531 Å; angles 90.00, 90.00, 120.00 degrees
With the nearest neighbours (Å) after each atom.
Element x y z (fractional)
1 B 0.3333 0.6667 0.1852  3 B 1.75
2 B 0.3333 0.6667 0.8148  3 B 1.75
3 B 0.6667 0.3333 0.1852  3 B 1.75
4 B 0.6667 0.3333 0.8148  3 B 1.75
5 Mo 0.0000 0.0000 0.0000  12 B 2.40
6 Pb 0.0000 0.0000 0.5000  6 Pb 3.04, 12 B 3.29


Record 2
The following is a DFT calculation (PBE) of a relaxed Ho3ScO6 crystal.

## Properties
Spin magnetization = 0.00 μB per cell

Cell lengths 6.5259, 6.5259, 6.5259 Å; angles 92.09, 92.09, 92.09 degrees
With the nearest neighbours (Å) after each atom.
Element x y z (fractional)
1 Ho 0.0610 0.5683 0.7528  6 O 2.20-2.32
2 Ho 0.2472 0.9390 0.4317  6 O 2.20-2.32
3 Ho 0.4317 0.2472 0.9390  6 O 2.20-2.32
4 Ho 0.5683 0.7528 0.0610  6 O 2.20-2.32
5 Ho 0.7528 0.0610 0.5683  6 O 2.20-2.32
6 Ho 0.9390 0.4317 0.2472  6 O 2.20-2.32
7 Sc 0.0000 0.0000 0.0000  6 O 2.10
8 Sc 0.5000 0.5000 0.5000  6 O 2.14
9 O 0.0362 0.9064 0.6926  1 Sc 2.10, 3 Ho 2.24-2.28
10 O 0.0936 0.3074 0.9638  1 Sc 2.10, 3 Ho 2.24-2.28
11 O 0.1932 0.5868 0.4292  1 Sc 2.14, 3 Ho 2.20-2.32
12 O 0.3074 0.9638 0.0936  1 Sc 2.10, 3 Ho 2.24-2.28
13 O 0.4132 0.5708 0.8068  1 Sc 2.14, 3 Ho 2.20-2.32
14 O 0.4292 0.1932 0.5868  1 Sc 2.14, 3 Ho 2.20-2.32
15 O 0.5708 0.8068 0.4132  1 Sc 2.14, 3 Ho 2.20-2.32
16 O 0.5868 0.4292 0.1932  1 Sc 2.14, 3 Ho 2.20-2.32
17 O 0.6926 0.0362 0.9064  1 Sc 2.10, 3 Ho 2.24-2.28
18 O 0.8068 0.4132 0.5708  1 Sc 2.14, 3 Ho 2.20-2.32
19 O 0.9064 0.6926 0.0362  1 Sc 2.10, 3 Ho 2.24-2.28
20 O 0.9638 0.0936 0.3074  1 Sc 2.10, 3 Ho 2.24-2.28


Record 3
The following is a DFT calculation (PBE) of a relaxed TaBi2Ir crystal.

## Properties
Spin magnetization = 0.09 μB per cell

Cell lengths 4.9871, 4.9871, 4.9871 Å; angles 60.00, 60.00, 60.00 degrees
With the nearest neighbours (Å) after each atom.
Element x y z (fractional)
1 Ta 0.0000 0.0000 0.0000  4 Bi 3.05, 4 Ir 3.05
2 Bi 0.5000 0.5000 0.5000  4 Bi 3.05, 4 Ir 3.05
3 Bi 0.7500 0.7500 0.7500  4 Bi 3.05, 4 Ta 3.05
4 Ir 0.2500 0.2500 0.2500  4 Bi 3.05, 4 Ta 3.05


Record 4
The following is a DFT calculation (PBE) of a relaxed K2HfHgBr6 crystal.

## Properties
Spin magnetization = 0.00 μB per cell

Cell lengths 8.4350, 8.4350, 8.4350 Å; angles 60.00, 60.00, 60.00 degrees
With the nearest neighbours (Å) after each atom.
Element x y z (fractional)
1 K 0.2500 0.2500 0.2500  12 Br 4.23
2 K 0.7500 0.7500 0.7500  12 Br 4.23
3 Hf 0.0000 0.0000 0.0000  6 Br 2.62
4 Hg 0.5000 0.5000 0.5000  6 Br 3.34
5 Br 0.2198 0.2198 0.7802  1 Hf 2.62
6 Br 0.2198 0.7802 0.2198  1 Hf 2.62
7 Br 0.2198 0.7802 0.7802  1 Hf 2.62
8 Br 0.7802 0.2198 0.2198  1 Hf 2.62
9 Br 0.7802 0.2198 0.7802  1 Hf 2.62
10 Br 0.7802 0.7802 0.2198  1 Hf 2.62


Record 5
The following is a DFT calculation (PBE) of a relaxed SrHoBi crystal.

## Properties
Spin magnetization = 0.39 μB per cell

Cell lengths 5.3663, 5.3663, 5.3663 Å; angles 60.00, 60.00, 60.00 degrees
With the nearest neighbours (Å) after each atom.
Element x y z (fractional)
1 Sr 0.0000 0.0000 0.0000  4 Bi 3.29
2 Ho 0.5000 0.5000 0.5000  4 Bi 3.29
3 Bi 0.7500 0.7500 0.7500  4 Ho 3.29, 4 Sr 3.29


Record 6
The following is a DFT calculation (PBE) of a relaxed ScTlTc crystal.

## Properties
Relative energy among the computed polymorphs = 0.0 meV/atom
Spin magnetization = 0.51 μB per cell

Cell lengths 4.5829, 4.5829, 4.5829 Å; angles 60.00, 60.00, 60.00 degrees
With the nearest neighbours (Å) after each atom.
Element x y z (fractional)
1 Sc 0.0000 0.0000 0.0000  4 Tc 2.81
2 Tl 0.5000 0.5000 0.5000  4 Tc 2.81
3 Tc 0.2500 0.2500 0.2500  4 Tl 2.81, 4 Sc 2.81


Record 7
The following is a DFT calculation (PBE) of a relaxed Tm2W crystal.

## Properties
Relative energy among the computed polymorphs = 1168.0 meV/atom
Spin magnetization = 3.37 μB per cell
Formation enthalpy at 0 K = 2391 meV/atom

Cell lengths 8.3748, 8.3748, 8.3748 Å; angles 60.00, 60.00, 60.00 degrees
With the nearest neighbours (Å) after each atom.
Element x y z (fractional)
1 Tm 0.0000 0.0000 0.0000  2 W 2.56
2 Tm 0.0000 0.0000 0.5000  2 W 2.56
3 Tm 0.0000 0.5000 0.0000  2 W 2.56
4 Tm 0.5000 0.0000 0.0000  2 W 2.56
5 W 0.1250 0.1250 0.1250  4 Tm 2.56
6 W 0.8750 0.8750 0.8750  4 Tm 2.56


Record 8
The following is a DFT calculation (PBE) of a relaxed Nd2YAl3FeCu2 crystal.

## Properties
Spin magnetization = 2.11 μB per cell

Cell lengths 4.0904, 7.1697, 7.1697 Å; angles 121.16, 90.00, 90.00 degrees
With the nearest neighbours (Å) after each atom.
Element x y z (fractional)
1 Nd 0.0000 0.2082 0.7918  4 Cu 2.97-2.98, 1 Fe 2.99, 6 Al 3.27-3.31
2 Nd 0.0000 0.7918 0.2082  4 Cu 2.97-2.98, 1 Fe 2.99, 6 Al 3.27-3.31
3 Y 0.0000 0.6235 0.6235  1 Fe 2.91, 4 Cu 2.94, 6 Al 3.22-3.25
4 Al 0.5000 0.2141 0.4399  2 Fe 2.62, 1 Cu 2.74, 2 Al 2.82-2.84
5 Al 0.5000 0.4399 0.2141  2 Fe 2.62, 1 Cu 2.74, 2 Al 2.82-2.84
6 Al 0.5000 0.9773 0.9773  2 Fe 2.62, 2 Cu 2.79, 2 Al 2.84
7 Fe 0.0000 0.2104 0.2104  6 Al 2.62, 1 Y 2.91
8 Cu 0.5000 0.5434 0.8679  3 Al 2.74-2.94, 2 Y 2.94, 4 Nd 2.97-2.98
9 Cu 0.5000 0.8679 0.5434  3 Al 2.74-2.94, 2 Y 2.94, 4 Nd 2.97-2.98


Record 9
The following is a DFT calculation (PBE) of a relaxed RbNdPa crystal.

## Properties
Spin magnetization = 3.51 μB per cell

Cell lengths 5.6726, 5.6726, 5.6726 Å; angles 60.00, 60.00, 60.00 degrees
With the nearest neighbours (Å) after each atom.
Element x y z (fractional)
1 Rb 0.0000 0.0000 0.0000  4 Nd 3.47
2 Nd 0.2500 0.2500 0.2500  4 Pa 3.47, 4 Rb 3.47
3 Pa 0.5000 0.5000 0.5000  4 Nd 3.47


Record 10
The following is a DFT calculation (PBE) of a relaxed Tm2TlCd crystal.

## Properties
Spin magnetization = 0.02 μB per cell

Cell lengths 3.7287, 3.7287, 7.3926 Å; angles 90.00, 90.00, 90.00 degrees
With the nearest neighbours (Å) after each atom.
Element x y z (fractional)
1 Tm 0.0000 0.0000 0.2444  4 Cd 3.20, 4 Tl 3.24
2 Tm 0.0000 0.0000 0.7556  4 Cd 3.20, 4 Tl 3.24
3 Tl 0.5000 0.5000 0.5000  8 Tm 3.24
4 Cd 0.5000 0.5000 0.0000  8 Tm 3.20


Record 11
The following is a DFT calculation (PBE) of a relaxed BaNaHg crystal.

Cell lengths 5.4940, 5.4940, 5.4940 Å; angles 60.00, 60.00, 60.00 degrees
With the nearest neighbours (Å) after each atom.
Element x y z (fractional)
1 Ba 0.0000 0.0000 0.0000  4 Na 3.36
2 Na 0.2500 0.2500 0.2500  4 Ba 3.36, 4 Hg 3.36
3 Hg 0.5000 0.5000 0.5000  4 Na 3.36


Record 12
The following is a DFT calculation (PBE) of a relaxed PmErAs crystal.

## Properties
Spin magnetization = 0.02 μB per cell

Cell lengths 4.8637, 4.8637, 4.8637 Å; angles 60.00, 60.00, 60.00 degrees
With the nearest neighbours (Å) after each atom.
Element x y z (fractional)
1 Pm 0.0000 0.0000 0.0000  4 As 2.98
2 Er 0.5000 0.5000 0.5000  4 As 2.98
3 As 0.7500 0.7500 0.7500  4 Er 2.98, 4 Pm 2.98


| no. | VASP energy (eV per atom) |
| --- | --- |
| 1 | -6.767 |
| 2 | -8.583 |
| 3 | -6.467 |
| 4 | -3.572 |
| 5 | -3.749 |
| 6 | -5.881 |
| 7 | -4.912 |
| 8 | -5.096 |
| 9 | -3.295 |
| 10 | -3.363 |
| 11 | -1.233 |
| 12 | -5.411 |